Entry 1:
Material: SrCaIr3
Method: DFT, PBEsol
State: relaxed

Final energy in hartree per atom: -0.1723
Magnetization in μB/cell: 0.02
Density in g/cm3: 9.86
D(E_F) in states/eV/atom: 1.39

a b c (Å): 4.9133 4.9133 4.9133
angles (deg): 90.00 90.00 90.00
With the nearest neighbours (Å) after each atom.
Space group Pm-3m (No. 221)
Asymmetric unit:
Sr 0.0000 0.0000 0.0000  6 Ir 2.46
Ca 0.5000 0.5000 0.5000  12 Ir 3.47
Ir 0.0000 0.0000 0.5000  2 Sr 2.46

=====

Entry 2:
Material: SrCa2Ir
Method: DFT, PBEsol
State: relaxed

Final energy in hartree per atom: -0.1416
Magnetization in μB/cell: 0.00
Density in g/cm3: 5.80
D(E_F) in states/eV/atom: 1.01

a b c (Å): 5.2818 5.2818 7.3862
angles (deg): 90.00 90.00 90.00
With the nearest neighbours (Å) after each atom.
Space group I-4m2 (No. 119)
Asymmetric unit:
Sr 0.0000 0.0000 0.0000  4 Ca 3.22, 4 Ir 3.22
Ca 0.0000 0.0000 0.5000  4 Ca 3.22, 4 Ir 3.22
Ca 0.0000 0.5000 0.7500  4 Ca 3.22, 4 Sr 3.22
Ir 0.0000 0.5000 0.2500  4 Ca 3.22, 4 Sr 3.22

=====

Entry 3:
Material: CaTa2Ir
Method: DFT, PBEsol
State: relaxed

Final energy in hartree per atom: -0.3252
Magnetization in μB/cell: 0.00
Density in g/cm3: 13.77
D(E_F) in states/eV/atom: 0.87
Distance to the lowest polymorph of the same formula in eV per atom: 0.1567

a b c (Å): 5.3967 9.4264 2.8164
angles (deg): 90.00 90.00 90.00
With the nearest neighbours (Å) after each atom.
Space group Cmmm (No. 65)
Asymmetric unit:
Ca 0.0000 0.0000 0.0000  2 Ir 2.70, 2 Ca 2.82
Ta 0.2500 0.2500 0.5000  4 Ta 2.70-2.82
Ir 0.0000 0.5000 0.0000  2 Ca 2.70, 2 Ir 2.82

=====

Entry 4:
Material: CaTa2Ir
Method: DFT, PBEsol
State: relaxed

Final energy in hartree per atom: -0.3310
Magnetization in μB/cell: 0.00
Density in g/cm3: 13.78
D(E_F) in states/eV/atom: 0.84
Distance to the lowest polymorph of the same formula in eV per atom: 0.0000

a b c (Å): 2.8808 4.6593 5.4578
angles (deg): 90.00 102.21 90.00
With the nearest neighbours (Å) after each atom.
Space group P2/m (No. 10)
Asymmetric unit:
Ca 0.0000 0.0000 0.0000  2 Ir 2.80, 2 Ca 2.88, 4 Ta 2.94
Ta 0.2707 0.5000 0.7317  4 Ta 2.68-2.95, 2 Ir 2.80, 2 Ca 2.94
Ir 0.5000 0.0000 0.5000  4 Ta 2.80, 2 Ca 2.80, 2 Ir 2.88

=====

Entry 5:
Material: CaTa2Ir2
Method: DFT, PBEsol
State: relaxed

Final energy in hartree per atom: -0.3620
Magnetization in μB/cell: 0.00
Density in g/cm3: 12.91
D(E_F) in states/eV/atom: 0.49

a b c (Å): 4.4058 4.4058 10.4184
angles (deg): 90.00 90.00 90.00
With the nearest neighbours (Å) after each atom.
Space group I4/mmm (No. 139)
Asymmetric unit:
Ca 0.0000 0.0000 0.0000  8 Ir 3.37, 8 Ta 3.41
Ta 0.0000 0.5000 0.2500  4 Ir 2.56
Ir 0.0000 0.0000 0.3756  4 Ta 2.56, 1 Ir 2.59

=====

Entry 6:
Material: CaTc2Ir
Method: DFT, PBEsol
State: relaxed

Final energy in hartree per atom: -0.3024
Magnetization in μB/cell: 0.00
Density in g/cm3: 10.89
D(E_F) in states/eV/atom: 1.16
Distance to the lowest polymorph of the same formula in eV per atom: 0.0163

a b c (Å): 2.9827 4.7287 9.2648
angles (deg): 90.00 90.00 90.00
With the nearest neighbours (Å) after each atom.
Space group Imm2 (No. 44)
Asymmetric unit:
Ca 0.0000 0.0000 0.0000  8 Tc 2.80-3.11, 4 Ir 2.98-3.13, 2 Ca 2.98
Tc 0.0000 0.0000 0.5115  2 Tc 2.43, 2 Ir 2.62
Tc 0.0000 0.5000 0.2185  2 Tc 2.43
Ir 0.0000 0.5000 0.7785  6 Tc 2.62-2.85

=====

Entry 7:
Material: CaTc2Ir
Method: DFT, PBEsol
State: relaxed

Final energy in hartree per atom: -0.3030
Magnetization in μB/cell: 0.00
Density in g/cm3: 10.97
D(E_F) in states/eV/atom: 0.94
Distance to the lowest polymorph of the same formula in eV per atom: 0.0000

a b c (Å): 2.7082 2.7082 8.8431
angles (deg): 90.00 90.00 90.00
With the nearest neighbours (Å) after each atom.
Space group P4/mmm (No. 123)
Asymmetric unit:
Ca 0.0000 0.0000 0.0000  4 Ca 2.71
Tc 0.5000 0.5000 0.2850  4 Ir 2.70, 4 Tc 2.71
Ir 0.0000 0.0000 0.5000  8 Tc 2.70, 4 Ir 2.71

=====

Entry 8:
Material: Ca2TcIr
Method: DFT, PBEsol
State: relaxed

Final energy in hartree per atom: -0.2145
Magnetization in μB/cell: 0.00
Density in g/cm3: 8.24
D(E_F) in states/eV/atom: 0.98
Distance to the lowest polymorph of the same formula in eV per atom: 0.0003

a b c (Å): 5.5226 9.0219 2.9944
angles (deg): 90.00 90.00 90.00
With the nearest neighbours (Å) after each atom.
Space group Cmmm (No. 65)
Asymmetric unit:
Ca 0.2500 0.2500 0.0000  4 Ca 2.76-2.99, 4 Tc 3.04, 4 Ir 3.04
Tc 0.0000 0.0000 0.5000  2 Ir 2.76, 2 Tc 2.99, 8 Ca 3.04
Ir 0.0000 0.5000 0.5000  2 Tc 2.76, 2 Ir 2.99, 8 Ca 3.04

=====

Entry 9:
Material: CaTcIr
Method: DFT, PBEsol
State: relaxed

Final energy in hartree per atom: -0.2606
Magnetization in μB/cell: 0.00
Density in g/cm3: 9.62
D(E_F) in states/eV/atom: 1.14
Distance to the lowest polymorph of the same formula in eV per atom: 0.4732

a b c (Å): 6.1104 6.1104 6.1104
angles (deg): 90.00 90.00 90.00
With the nearest neighbours (Å) after each atom.
Space group F-43m (No. 216)
Asymmetric unit:
Ca 0.0000 0.0000 0.0000  4 Tc 2.65
Tc 0.2500 0.2500 0.2500  4 Ca 2.65, 4 Ir 2.65
Ir 0.0000 0.0000 0.5000  4 Tc 2.65

=====

Entry 10:
Material: CaTc2Ir
Method: DFT, PBEsol
State: relaxed

Final energy in hartree per atom: -0.2980
Magnetization in μB/cell: 0.00
Density in g/cm3: 11.14
D(E_F) in states/eV/atom: 1.13
Distance to the lowest polymorph of the same formula in eV per atom: 0.1356

a b c (Å): 2.7738 2.7738 28.7432
angles (deg): 90.00 90.00 120.00
With the nearest neighbours (Å) after each atom.
Space group R-3m (No. 166, hexagonal axes)
Asymmetric unit:
Ca 0.0000 0.0000 0.0000  6 Ca 2.77, 6 Tc 3.09
Tc 0.0000 0.0000 0.2413  3 Ir 2.68, 6 Tc 2.77
Ir 0.0000 0.0000 0.5000  6 Tc 2.68, 6 Ir 2.77

=====

Entry 11:
Material: CaTcIr2
Method: DFT, PBEsol
State: relaxed

Final energy in hartree per atom: -0.2865
Magnetization in μB/cell: 0.02
Density in g/cm3: 13.79
D(E_F) in states/eV/atom: 1.74
Distance to the lowest polymorph of the same formula in eV per atom: 0.2418

a b c (Å): 6.3136 6.3136 6.3136
angles (deg): 90.00 90.00 90.00
With the nearest neighbours (Å) after each atom.
Space group F-43m (No. 216)
Asymmetric unit:
Ca 0.0000 0.0000 0.0000  4 Ir 2.73, 4 Tc 2.73
Tc 0.2500 0.2500 0.7500  4 Ca 2.73, 4 Ir 2.73
Ir 0.0000 0.0000 0.5000  4 Tc 2.73, 4 Ir 2.73
Ir 0.2500 0.2500 0.2500  4 Ir 2.73, 4 Ca 2.73

=====

Entry 12:
Material: CaTc2Ir
Method: DFT, PBEsol
State: relaxed

Final energy in hartree per atom: -0.2976
Magnetization in μB/cell: 0.00
Density in g/cm3: 9.92
D(E_F) in states/eV/atom: 1.26
Distance to the lowest polymorph of the same formula in eV per atom: 0.1480

a b c (Å): 3.2342 3.2342 6.8509
angles (deg): 90.00 90.00 90.00
With the nearest neighbours (Å) after each atom.
Space group P4/mmm (No. 123)
Asymmetric unit:
Ca 0.0000 0.0000 0.0000  8 Tc 3.16, 4 Ca 3.23, 2 Ir 3.43
Tc 0.5000 0.5000 0.3188  1 Tc 2.48, 4 Ir 2.60
Ir 0.0000 0.0000 0.5000  8 Tc 2.60

=====

Entry 13:
Material: CaTcIr2
Method: DFT, PBEsol
State: relaxed

Final energy in hartree per atom: -0.2923
Magnetization in μB/cell: 0.01
Density in g/cm3: 13.73
D(E_F) in states/eV/atom: 1.24
Distance to the lowest polymorph of the same formula in eV per atom: 0.0848

a b c (Å): 3.9998 4.2129 7.5014
angles (deg): 90.00 90.00 90.00
With the nearest neighbours (Å) after each atom.
Space group Immm (No. 71)
Asymmetric unit:
Ca 0.0000 0.0000 0.0000  8 Ir 2.77-2.79, 4 Tc 2.90
Tc 0.0000 0.0000 0.5000  8 Ir 2.71-2.85, 4 Ca 2.90
Ir 0.0000 0.5000 0.2438  4 Tc 2.71-2.85, 4 Ca 2.77-2.79, 4 Ir 2.91

=====

Entry 14:
Material: CaTcIr2
Method: DFT, PBEsol
State: relaxed

Final energy in hartree per atom: -0.2878
Magnetization in μB/cell: 0.00
Density in g/cm3: 13.81
D(E_F) in states/eV/atom: 1.14
Distance to the lowest polymorph of the same formula in eV per atom: 0.2061

a b c (Å): 2.8329 4.6533 4.7678
angles (deg): 90.00 90.00 90.00
With the nearest neighbours (Å) after each atom.
Space group Pmmm (No. 47)
Asymmetric unit:
Ca 0.0000 0.0000 0.0000  4 Ir 2.72, 4 Tc 2.77, 2 Ca 2.83
Tc 0.5000 0.0000 0.5000  4 Ir 2.72, 4 Ca 2.77, 2 Tc 2.83
Ir 0.0000 0.5000 0.5000  4 Tc 2.72, 6 Ir 2.77-2.83
Ir 0.5000 0.5000 0.0000  4 Ca 2.72, 6 Ir 2.77-2.83

=====

Entry 15:
Material: Ca2TcIr
Method: DFT, PBEsol
State: relaxed

Final energy in hartree per atom: -0.2143
Magnetization in μB/cell: 1.42
Density in g/cm3: 8.18
D(E_F) in states/eV/atom: 1.11
Distance to the lowest polymorph of the same formula in eV per atom: 0.0066

a b c (Å): 4.0908 4.0908 4.4948
angles (deg): 90.00 90.00 90.00
With the nearest neighbours (Å) after each atom.
Space group P4/mmm (No. 123)
Asymmetric unit:
Ca 0.0000 0.5000 0.0000  4 Ca 2.89, 4 Ir 3.04, 4 Tc 3.04
Tc 0.0000 0.0000 0.5000  4 Ir 2.89, 8 Ca 3.04
Ir 0.5000 0.5000 0.5000  4 Tc 2.89, 8 Ca 3.04